Entry 1:
# Li4ZrNbTe2O12 PBEsol relaxed
data_Li4ZrNbTe2O12
_cell_length_a 5.179
_cell_length_b 5.513
_cell_length_c 7.556
_cell_angle_alpha 85.08
_cell_angle_beta 90.02
_cell_angle_gamma 90.00
_space_group_name_H-M_alt 'P 1'
_space_group_IT_number 1
_space_group_name_Hall 'P 1'
loop_
_atom_site_label
_atom_site_type_symbol
_atom_site_fract_x
_atom_site_fract_y
_atom_site_fract_z
_atom_site_occupancy
Li1 Li 0.502 0.059 0.781 1
Li2 Li 0.496 0.080 0.290 1
Li3 Li 0.999 0.566 0.281 1
Li4 Li 0.002 0.582 0.791 1
Zr1 Zr 0.999 0.008 0.003 1
Nb1 Nb 0.501 0.506 0.504 1
Te1 Te 0.498 0.500 0.001 1
Te2 Te 0.002 0.004 0.501 1
O1 O 0.179 0.666 0.558 1
O2 O 0.368 0.481 0.242 1
O3 O 0.330 0.171 0.554 1
O4 O 0.135 0.977 0.255 1
O5 O 0.205 0.317 0.922 1
O6 O 0.663 0.188 0.057 1
O7 O 0.315 0.793 0.924 1
O8 O 0.868 0.978 0.746 1
O9 O 0.810 0.666 0.056 1
O10 O 0.632 0.487 0.753 1
O11 O 0.686 0.805 0.425 1
O12 O 0.809 0.308 0.425 1
# space-group type	No. 1
# formation energy without anion corrections	-2.01	eV per atom

***

Entry 2:
# ErAsSe PBEsol relaxed
data_ErAsSe
_cell_length_a 3.829
_cell_length_b 3.853
_cell_length_c 17.109
_cell_angle_alpha 90.00
_cell_angle_beta 90.00
_cell_angle_gamma 90.00
_space_group_name_H-M_alt 'P 1'
_space_group_IT_number 1
_space_group_name_Hall 'P 1'
loop_
_atom_site_label
_atom_site_type_symbol
_atom_site_fract_x
_atom_site_fract_y
_atom_site_fract_z
_atom_site_occupancy
As1 As 0.250 0.721 0.999 1
As2 As 0.750 0.279 0.001 1
As3 As 0.250 0.779 0.499 1
As4 As 0.750 0.221 0.501 1
Se1 Se 0.750 0.737 0.812 1
Se2 Se 0.250 0.263 0.188 1
Se3 Se 0.750 0.763 0.312 1
Se4 Se 0.250 0.237 0.688 1
Er1 Er 0.750 0.735 0.639 1
Er2 Er 0.250 0.265 0.361 1
Er3 Er 0.750 0.765 0.139 1
Er4 Er 0.250 0.235 0.861 1
# space-group type	No. 62
# formation energy without anion corrections	-1.47	eV per atom

***

Entry 3:
# SrMg2Re PBEsol relaxed
data_SrMg2Re
_cell_length_a 2.906
_cell_length_b 4.959
_cell_length_c 6.662
_cell_angle_alpha 94.79
_cell_angle_beta 90.00
_cell_angle_gamma 107.04
_space_group_name_H-M_alt 'P 1'
_space_group_IT_number 1
_space_group_name_Hall 'P 1'
loop_
_atom_site_label
_atom_site_type_symbol
_atom_site_fract_x
_atom_site_fract_y
_atom_site_fract_z
_atom_site_occupancy
Mg1 Mg 0.992 0.984 0.925 1
Mg2 Mg 0.245 0.491 0.723 1
Re1 Re 0.505 0.010 0.568 1
Sr1 Sr 0.757 0.515 0.284 1
# DFT formation energy	2.67	eV per formula unit
# energy relative to the lowest polymorph listed for this composition	0.0830	eV per atom
# space-group type	No. 8

***

Entry 4:
# TaRe PBEsol relaxed
data_TaRe
_cell_length_a 2.777
_cell_length_b 4.478
_cell_length_c 5.213
_cell_angle_alpha 90.00
_cell_angle_beta 100.90
_cell_angle_gamma 90.00
_space_group_name_H-M_alt 'P 1'
_space_group_IT_number 1
_space_group_name_Hall 'P 1'
loop_
_atom_site_label
_atom_site_type_symbol
_atom_site_fract_x
_atom_site_fract_y
_atom_site_fract_z
_atom_site_occupancy
Re1 Re 0.629 0.750 0.870 1
Re2 Re 0.371 0.250 0.130 1
Ta1 Ta 0.869 0.250 0.632 1
Ta2 Ta 0.131 0.750 0.368 1
# DFT formation energy	-0.39	eV per formula unit
# space-group type	No. 11

***

Entry 5:
# TlTc2Au PBEsol relaxed
data_TlTc2Au
_cell_length_a 2.885
_cell_length_b 2.885
_cell_length_c 7.884
_cell_angle_alpha 90.00
_cell_angle_beta 90.00
_cell_angle_gamma 90.00
_space_group_name_H-M_alt 'P 1'
_space_group_IT_number 1
_space_group_name_Hall 'P 1'
loop_
_atom_site_label
_atom_site_type_symbol
_atom_site_fract_x
_atom_site_fract_y
_atom_site_fract_z
_atom_site_occupancy
Au1 Au 0.500 0.500 0.500 1
Tc1 Tc 0.000 0.000 0.734 1
Tc2 Tc 0.000 0.000 0.266 1
Tl1 Tl 0.500 0.500 0.000 1
# DFT formation energy	2.91	eV per formula unit
# energy relative to the lowest polymorph listed for this composition	0.4736	eV per atom
# space-group type	No. 123

***

Entry 6:
# MgZr2Ta PBEsol relaxed
data_MgZr2Ta
_cell_length_a 2.928
_cell_length_b 2.928
_cell_length_c 9.890
_cell_angle_alpha 90.00
_cell_angle_beta 90.00
_cell_angle_gamma 105.07
_space_group_name_H-M_alt 'P 1'
_space_group_IT_number 1
_space_group_name_Hall 'P 1'
loop_
_atom_site_label
_atom_site_type_symbol
_atom_site_fract_x
_atom_site_fract_y
_atom_site_fract_z
_atom_site_occupancy
Mg1 Mg 0.000 0.000 0.488 1
Ta1 Ta 0.500 0.500 0.244 1
Zr1 Zr 0.000 0.000 0.012 1
Zr2 Zr 0.500 0.500 0.757 1
# DFT formation energy	0.64	eV per formula unit
# space-group type	No. 35